(1)
The following is a DFT calculation (PBE) of a relaxed Cu3I2Cl2 crystal.

Summary:
ΔE_f (raw) = -0.2990 eV/atom
symmetry = C2/m (12)
uncorrected energy = -3.02 eV per atom

```
14
Lattice="14.586 0.000 0.000 0.000 4.187 0.000 -2.502 0.000 6.562" Properties=species:S:1:pos:R:3 pbc="T T T"
Cu 0.000 0.000 0.000
Cu 1.758 0.000 2.076
Cu 3.033 2.094 4.486
Cu 7.293 2.094 0.000
Cu 9.051 2.094 2.076
Cu 10.326 0.000 4.486
I 0.677 2.094 3.221
I 4.114 0.000 3.340
I 7.970 0.000 3.221
I 11.407 2.094 3.340
Cl -0.395 0.000 6.388
Cl 5.186 2.094 0.174
Cl 6.898 2.094 6.388
Cl 12.479 0.000 0.174
```

(2)
The following is a DFT calculation (PBE) of a relaxed ZrVSe2 crystal.

Summary:
ΔE_f (raw) = -0.4664 eV/atom
symmetry = R-3m (166)
uncorrected energy = -6.63 eV per atom

```
12
Lattice="3.630 0.000 0.000 -1.815 3.144 0.000 0.000 0.000 25.414" Properties=species:S:1:pos:R:3 pbc="T T T"
Zr 0.000 0.000 0.000
Zr 0.000 2.096 16.942
Zr 1.815 1.048 8.471
V 0.000 0.000 12.707
V 0.000 2.096 4.236
V 1.815 1.048 21.178
Se 0.000 0.000 10.187
Se 0.000 0.000 15.227
Se 0.000 2.096 1.715
Se 0.000 2.096 6.756
Se 1.815 1.048 18.658
Se 1.815 1.048 23.698
```

(3)
The following is a DFT calculation (PBE) of a relaxed Pm2Tl3SnSe6 crystal.

Summary:
ΔE_f (raw) = -1.0350 eV/atom
symmetry = C2/m (12)
uncorrected energy = -4.49 eV per atom

```
12
Lattice="3.705 -6.424 0.000 3.705 6.424 0.000 -2.455 0.000 7.652" Properties=species:S:1:pos:R:3 pbc="T T T"
Pm 3.705 4.289 0.000
Pm 3.705 -4.289 0.000
Tl -1.228 0.000 3.826
Tl 2.477 2.211 3.826
Tl 2.477 -2.211 3.826
Sn 3.705 0.000 0.000
Se 0.035 2.111 6.059
Se 1.273 0.000 1.626
Se 0.035 -2.111 6.059
Se 4.918 2.111 1.594
Se 3.681 0.000 6.027
Se 4.918 -2.111 1.594
```

(4)
The following is a DFT calculation (PBE) of a relaxed SrLa4Si3O13 crystal.

Summary:
ΔE_f (raw) = -3.2961 eV/atom
symmetry = P6_3 (173)
uncorrected energy = -8.16 eV per atom

```
42
Lattice="9.782 0.000 0.000 -4.891 8.471 0.000 0.000 0.000 7.274" Properties=species:S:1:pos:R:3 pbc="T T T"
Sr 0.000 5.648 0.000
Sr 4.891 2.824 3.637
La -1.091 2.055 5.473
La -2.565 8.389 5.473
La 1.234 1.973 1.836
La 0.000 5.648 3.640
La 4.891 2.824 0.003
La 3.657 6.499 5.473
La 7.456 0.082 1.836
La 5.982 6.416 1.836
Si -1.670 3.379 1.820
Si -1.130 8.228 1.820
Si 2.091 3.136 5.457
Si 2.800 5.336 1.820
Si 6.021 0.243 5.457
Si 6.561 5.092 5.457
O 0.000 0.000 1.861
O 0.000 0.000 5.498
O -0.812 2.890 3.150
O -0.782 2.868 0.523
O -1.707 5.024 1.874
O -1.729 5.762 5.403
O -2.016 7.715 0.523
O -1.982 7.730 3.150
O 0.765 4.093 5.403
O 2.093 2.112 4.160
O 2.097 2.149 6.787
O 1.394 4.481 1.874
O 0.314 7.438 1.874
O 3.927 1.384 1.766
O 0.964 7.087 5.403
O 4.577 1.033 5.511
O 3.497 3.991 5.511
O 2.794 6.323 3.150
O 2.798 6.360 0.523
O 4.126 4.378 1.766
O 6.873 0.741 6.787
O 6.907 0.757 4.160
O 6.620 2.709 1.766
O 6.598 3.447 5.511
O 5.673 5.603 4.160
O 5.703 5.581 6.787
```

(5)
The following is a DFT calculation (PBE) of a relaxed Be2WBr crystal.

Summary:
ΔE_f (raw) = 0.3867 eV/atom
symmetry = Cm (8)
uncorrected energy = -5.13 eV per atom

```
8
Lattice="6.059 0.000 0.000 0.000 3.460 0.000 -0.308 0.000 5.908" Properties=species:S:1:pos:R:3 pbc="T T T"
Be 0.000 0.000 0.000
Be 0.986 1.730 0.184
Be 3.030 1.730 0.000
Be 4.016 0.000 0.184
W 1.679 0.000 4.701
W 4.709 1.730 4.701
Br 0.869 1.730 2.724
Br 3.899 0.000 2.724
```

(6)
The following is a DFT calculation (PBE) of a relaxed Pm2InPtO6 crystal.

Summary:
ΔE_f (raw) = -2.1184 eV/atom
symmetry = P2_1/c (14)
uncorrected energy = -6.92 eV per atom

```
20
Lattice="5.577 0.000 0.000 0.000 6.202 0.000 -5.381 0.000 7.856" Properties=species:S:1:pos:R:3 pbc="T T T"
Pm -0.095 0.516 1.984
Pm -2.786 2.585 5.912
Pm 2.981 3.617 1.944
Pm 0.291 5.686 5.872
In 2.788 0.000 0.000
In 0.098 3.101 3.928
Pt -2.691 0.000 3.928
Pt 0.000 3.101 0.000
O -4.336 1.058 7.337
O -1.645 2.043 3.410
O -3.655 4.218 7.417
O -0.964 5.084 3.489
O -1.883 0.345 5.803
O 0.807 2.756 1.875
O -0.612 3.446 5.981
O 2.078 5.857 2.053
O 1.159 1.117 4.367
O 3.850 1.983 0.439
O 1.841 4.159 4.446
O 4.531 5.143 0.518
```

What did the third record say?
The following is a DFT calculation (PBE) of a relaxed Pm2Tl3SnSe6 crystal.

Summary:
ΔE_f (raw) = -1.0350 eV/atom
symmetry = C2/m (12)
uncorrected energy = -4.49 eV per atom

```
12
Lattice="3.705 -6.424 0.000 3.705 6.424 0.000 -2.455 0.000 7.652" Properties=species:S:1:pos:R:3 pbc="T T T"
Pm 3.705 4.289 0.000
Pm 3.705 -4.289 0.000
Tl -1.228 0.000 3.826
Tl 2.477 2.211 3.826
Tl 2.477 -2.211 3.826
Sn 3.705 0.000 0.000
Se 0.035 2.111 6.059
Se 1.273 0.000 1.626
Se 0.035 -2.111 6.059
Se 4.918 2.111 1.594
Se 3.681 0.000 6.027
Se 4.918 -2.111 1.594
```

Q: The highest ΔE_f (raw) belongs to which entry?
A: Be2WBr